No. 1
## CaBe2Br (PBE)

Data for a geometry-optimized CaBe2Br structure.

Results
DFT total energy = -10.246 eV for the cell shown
Formation energy without anion corrections = 0.88 eV/f.u.
E above lowest polymorph = 296 meV/atom

Cell: 5.5060 5.5060 5.5060 Å, 136.11 119.51 77.69°
Closest atoms and distances in Å follow each position.
Fractional coordinates of all 4 atoms:
Be: 0.9312 0.9312 0.0000  2 Be 2.09
Ca: 0.2189 0.7189 0.5000  1 Be 2.83, 2 Br 2.93
Br: 0.4614 0.4614 0.0000  2 Be 2.84, 2 Ca 2.93
Be: 0.8886 0.3886 0.5000  2 Be 2.09



No. 2
## CaBeBr4 (PBE)

Data for a geometry-optimized CaBeBr4 structure.

Results
DFT total energy = -11.021 eV for the cell shown
Formation energy without anion corrections = 1.40 eV/f.u.
E above lowest polymorph = 1701 meV/atom

Cell: 6.3904 6.3904 6.3904 Å, 60.00 60.00 60.00°
Closest atoms and distances in Å follow each position.
Fractional coordinates of all 6 atoms:
Be: 0.0000 0.0000 0.0000  12 Br 3.75, 4 Ca 3.91
Br: 0.3748 0.8756 0.3748  6 Br 3.19-3.20
Ca: 0.7500 0.7500 0.7500  12 Br 3.75, 4 Be 3.91
Br: 0.3748 0.3748 0.3748  6 Br 3.19-3.20
Br: 0.8756 0.3748 0.3748  6 Br 3.19-3.20
Br: 0.3748 0.3748 0.8756  6 Br 3.19-3.20



No. 3
## CaBe2Br (PBE)

Data for a geometry-optimized CaBe2Br structure.

Results
DFT total energy = -9.443 eV for the cell shown
Formation energy without anion corrections = 1.68 eV/f.u.
E above lowest polymorph = 497 meV/atom

Cell: 5.1668 5.1668 3.7838 Å, 90.00 90.00 118.53°
Closest atoms and distances in Å follow each position.
Fractional coordinates of all 4 atoms:
Br: 0.5000 0.0000 0.5000  2 Ca 2.64
Be: 0.0000 0.0000 0.0000  2 Be 2.64
Ca: 0.0000 0.5000 0.5000  2 Br 2.64
Be: 0.5000 0.5000 0.0000  2 Be 2.64



No. 4
## CaBe2Br (PBE)

Data for a geometry-optimized CaBe2Br structure.

Results
DFT total energy = -8.851 eV for the cell shown
Formation energy without anion corrections = 2.28 eV/f.u.
E above lowest polymorph = 645 meV/atom

Cell: 3.4178 3.4178 7.6934 Å, 90.00 90.00 110.12°
Closest atoms and distances in Å follow each position.
Fractional coordinates of all 4 atoms:
Be: 0.0000 0.0000 0.0280  2 Br 2.60, 2 Ca 2.90
Br: 0.5000 0.5000 0.2500  4 Be 2.60
Be: 0.0000 0.0000 0.4720  2 Br 2.60, 2 Ca 2.90
Ca: 0.5000 0.5000 0.7500  4 Be 2.90



No. 5
## CaBe2Br (PBE)

Data for a geometry-optimized CaBe2Br structure.

Results
DFT total energy = -9.030 eV for the cell shown
Formation energy without anion corrections = 2.10 eV/f.u.
E above lowest polymorph = 600 meV/atom

Cell: 4.3527 4.3866 5.2271 Å, 90.00 90.00 90.00°
Closest atoms and distances in Å follow each position.
Fractional coordinates of all 4 atoms:
Ca: 0.5000 0.5000 0.7500  2 Br 2.61
Be: 0.0000 0.0000 0.0305  1 Be 2.29
Br: 0.5000 0.5000 0.2500  2 Ca 2.61
Be: 0.0000 0.0000 0.4695  1 Be 2.29



No. 6
## CaBe2Br (PBE)

Data for a geometry-optimized CaBe2Br structure.

Results
DFT total energy = -19.162 eV for the cell shown
Formation energy without anion corrections = 1.55 eV/f.u.
E above lowest polymorph = 462 meV/atom

Cell: 8.0227 8.0227 6.2670 Å, 50.20 50.20 90.00°
Closest atoms and distances in Å follow each position.
Fractional coordinates of all 8 atoms:
Br: 0.0000 0.0000 0.0000  2 Ca 2.66, 4 Be 2.78
Be: 0.3750 0.3507 0.7500  2 Be 2.69, 2 Br 2.78
Ca: 0.5000 0.5000 0.0000  2 Br 2.66
Be: 0.1007 0.6250 0.2500  2 Be 2.69, 2 Br 2.78
Be: 0.6493 0.1250 0.2500  2 Be 2.69, 2 Br 2.78
Be: 0.8750 0.8993 0.7500  2 Be 2.69, 2 Br 2.78
Br: 0.7500 0.2500 0.5000  2 Ca 2.66, 4 Be 2.78
Ca: 0.2500 0.7500 0.5000  2 Br 2.66



No. 7
## CaBe2Br4 (PBE)

Data for a geometry-optimized CaBe2Br4 structure.

Results
DFT total energy = -21.911 eV for the cell shown
Formation energy without anion corrections = -5.77 eV/f.u.

Cell: 5.9261 5.9261 7.2996 Å, 66.05 66.05 90.00°
Closest atoms and distances in Å follow each position.
Fractional coordinates of all 7 atoms:
Br: 0.5000 0.0000 0.0000  2 Ca 2.96, 4 Be 3.12
Ca: 0.0000 0.0000 0.0000  6 Br 2.95-2.96
Br: 0.0000 0.5000 0.0000  2 Ca 2.96, 4 Be 3.12
Br: 0.2467 0.2467 0.5065  1 Be 2.04
Be: 0.4174 0.4174 0.1652  1 Be 1.97, 1 Br 2.04
Be: 0.5826 0.5826 0.8348  1 Be 1.97, 1 Br 2.04
Br: 0.7533 0.7533 0.4935  1 Be 2.04



No. 8
## Ca3BeBr (PBE)

Data for a geometry-optimized Ca3BeBr structure.

Results
DFT total energy = -12.147 eV for the cell shown
Formation energy without anion corrections = -0.74 eV/f.u.
E above lowest polymorph = 0 meV/atom

Cell: 5.5847 5.5847 5.5847 Å, 90.00 90.00 90.00°
Closest atoms and distances in Å follow each position.
Fractional coordinates of all 5 atoms:
Ca: 0.0000 0.5000 0.0000  2 Be 2.79
Ca: 0.5000 0.0000 0.0000  2 Be 2.79
Be: 0.0000 0.0000 0.0000  6 Ca 2.79
Ca: 0.0000 0.0000 0.5000  2 Be 2.79
Br: 0.5000 0.5000 0.5000  12 Ca 3.95



No. 9
## CaBe2Br (PBE)

Data for a geometry-optimized CaBe2Br structure.

Results
DFT total energy = -9.111 eV for the cell shown
Formation energy without anion corrections = 2.02 eV/f.u.
E above lowest polymorph = 580 meV/atom

Cell: 4.8389 4.8389 4.8389 Å, 60.00 60.00 60.00°
Closest atoms and distances in Å follow each position.
Fractional coordinates of all 4 atoms:
Ca: 0.7500 0.7500 0.7500  4 Be 2.96, 4 Br 2.96
Be: 0.2500 0.2500 0.2500  4 Br 2.96, 4 Be 2.96
Br: 0.5000 0.5000 0.5000  4 Ca 2.96, 4 Be 2.96
Be: 0.0000 0.0000 0.0000  4 Ca 2.96, 4 Be 2.96



No. 10
## CaBe2Br (PBE)

Data for a geometry-optimized CaBe2Br structure.

Results
DFT total energy = -10.793 eV for the cell shown
Formation energy without anion corrections = 0.33 eV/f.u.
E above lowest polymorph = 159 meV/atom

Cell: 4.1138 3.6059 5.9959 Å, 89.81 90.00 90.00°
Closest atoms and distances in Å follow each position.
Fractional coordinates of all 4 atoms:
Be: 0.5000 0.2489 0.1214  2 Be 2.07
Be: 0.0000 0.2489 0.0767  2 Be 2.07
Ca: 0.5000 0.7510 0.7762  2 Be 2.74-2.75
Br: 0.0000 0.2513 0.5257  1 Be 2.69



No. 11
## CaBe2Br (PBE)

Data for a geometry-optimized CaBe2Br structure.

Results
DFT total energy = -10.254 eV for the cell shown
Formation energy without anion corrections = 0.87 eV/f.u.
E above lowest polymorph = 294 meV/atom

Cell: 4.9856 3.8919 4.3365 Å, 90.00 90.00 90.00°
Closest atoms and distances in Å follow each position.
Fractional coordinates of all 4 atoms:
Br: 0.5000 0.2500 0.2500  4 Be 2.72, 4 Ca 2.91
Be: 0.0000 0.2500 0.9977  2 Be 2.15-2.19
Be: 0.0000 0.2500 0.5023  2 Be 2.15-2.19
Ca: 0.5000 0.7500 0.7500  4 Br 2.91



No. 12
## CaBeBr4 (PBE)

Data for a geometry-optimized CaBeBr4 structure.

Results
DFT total energy = -42.457 eV for the cell shown
Formation energy without anion corrections = -8.81 eV/f.u.
E above lowest polymorph = 0 meV/atom

Cell: 6.6745 6.6745 8.9164 Å, 90.00 90.00 111.43°
Closest atoms and distances in Å follow each position.
Fractional coordinates of all 12 atoms:
Br: 0.2594 0.7406 0.4600  1 Be 2.14
Br: 0.2439 0.2784 0.2500  1 Be 2.29
Be: 0.3536 0.6464 0.2500  4 Br 2.14-2.29
Br: 0.7561 0.7216 0.7500  1 Be 2.29
Ca: 0.0000 0.0000 0.5000  6 Br 2.88-2.98
Br: 0.7406 0.2594 0.5400  1 Be 2.14
Br: 0.2594 0.7406 0.0400  1 Be 2.14
Br: 0.7216 0.7561 0.2500  1 Be 2.29
Ca: 0.0000 0.0000 0.0000  6 Br 2.88-2.98
Br: 0.7406 0.2594 0.9600  1 Be 2.14
Be: 0.6464 0.3536 0.7500  4 Br 2.14-2.29
Br: 0.2784 0.2439 0.7500  1 Be 2.29



Calculated calculated density in order - 2.34, 3.32, 2.58, 2.72, 2.30, 2.67, 2.99, 1.99, 2.86, 2.58, 2.72, 3.31 g cm⁻³